! Tb2ErCuSe5, optimized geometry, DFT PBE; values from VASP
! Crystal system = orthorhombic
! Size of the total moment = 0.000 μB per cell
! Space-group type = Cmc2_1 (36)
! Formation energy (no corrections) = -1546 meV/atom
! VASP energy = -5.473 eV per atom
&SYSTEM
  ibrav = 0, nat = 18, ntyp = 4
/
ATOMIC_SPECIES
Se 78.96 Se.upf
Er 167.26 Er.upf
Tb 158.93 Tb.upf
Cu 63.55 Cu.upf
ATOMIC_POSITIONS crystal
Se 0.0417 0.0834 0.0657
Se 0.9583 0.9166 0.5657
Se 0.2877 0.5755 0.6755
Se 0.6863 0.3726 0.8431
Se 0.5015 0.0031 0.2807
Se 0.3137 0.6274 0.3431
Se 0.3570 0.7141 0.0006
Se 0.7123 0.4245 0.1755
Se 0.4985 0.9969 0.7807
Se 0.6430 0.2859 0.5006
Er 0.8071 0.6142 0.5102
Er 0.1929 0.3858 0.0102
Tb 0.1081 0.2162 0.6849
Tb 0.8919 0.7838 0.1849
Tb 0.1221 0.2443 0.3069
Tb 0.8779 0.7557 0.8069
Cu 0.4357 0.8715 0.4564
Cu 0.5643 0.1285 0.9564
CELL_PARAMETERS angstrom
3.9893 0.0000 0.0000
-1.9946 8.7120 0.0000
0.0000 0.0000 11.9984